Record 1
ZrGa2IrW: optimized geometry, PBE-GGA.

Unit cell a=4.923 b=4.923 c=4.809 alpha=90.00 beta=90.00 gamma=90.00
Space group P4/mmm (No. 123)
Symmetry-distinct sites (fractional):
Zr  0.000  0.000  0.000 (multiplicity 1)
Ga  0.000  0.500  0.000 (multiplicity 2)
Ir  0.500  0.500  0.500 (multiplicity 1)
W  0.000  0.000  0.500 (multiplicity 1)

The total energy comes out at -5.363 eV/atom. The calculation puts the energy of formation from the pure elements at 926 kJ/mol of formula units. The calculation puts the density of states at the Fermi level at 5.66 states/eV per cell.

Record 2
Sr2HfCo2: optimized geometry, PBE-GGA.

Unit cell a=6.796 b=6.796 c=4.999 alpha=90.00 beta=90.00 gamma=90.00
Space group P4/mbm (No. 127)
Symmetry-distinct sites (fractional):
Sr  0.176  0.324  0.000 (multiplicity 4)
Hf  0.000  0.000  0.500 (multiplicity 2)
Co  0.119  0.619  0.500 (multiplicity 4)

The total energy comes out at -5.140 eV/atom. The calculation puts the energy of formation from the pure elements at 176 kJ/mol of formula units. The calculation puts the density of states at the Fermi level at 9.95 states/eV per cell.

Record 3
ZrBeCl: optimized geometry, PBE-GGA.

Unit cell a=3.086 b=3.086 c=14.499 alpha=90.00 beta=90.00 gamma=90.00
Space group I4mm (No. 107)
Symmetry-distinct sites (fractional):
Zr  0.000  0.000  0.000 (multiplicity 2)
Be  0.000  0.000  0.612 (multiplicity 2)
Cl  0.000  0.000  0.381 (multiplicity 2)

Its formation energy (no corrections) is -0.1929 eV per atom. The total energy comes out at -4.900 eV/atom. Its polymorph energy (0 for the lowest one) is 45 meV per atom. The calculation puts the density of states at the Fermi level at 4.27 states/eV per cell.

Record 4
Ti2ZnB: optimized geometry, PBE-GGA.

Unit cell a=5.936 b=5.936 c=5.936 alpha=90.00 beta=90.00 gamma=90.00
Space group Fm-3m (No. 225)
Symmetry-distinct sites (fractional):
Ti  0.250  0.250  0.250 (multiplicity 8)
Zn  0.000  0.000  0.000 (multiplicity 4)
B  0.000  0.000  0.500 (multiplicity 4)

The total energy comes out at -5.915 eV/atom. The calculation puts the energy of formation from the pure elements at 8 kJ/mol of formula units. Its polymorph energy (0 for the lowest one) is 284 meV per atom. The calculation puts the density of states at the Fermi level at 19.38 states/eV per cell.